The following is a PBE calculation of a relaxed Re2SiHgGe crystal, from the Alexandria database.

abc: 5.1799 4.6124 5.1799
angles: 90.00 90.00 90.00
Element x y z (fractional)
Re 0.0000 0.0000 0.5000
Re 0.5000 0.0000 0.0000
Ge 0.5000 0.5000 0.5000
Si 0.0000 0.5000 0.0000
Hg 0.0000 0.0000 0.0000

Computed properties:
Crystal system: tetragonal
Total DFT energy (no corrections) in eV/atom: -4.4269
Formation energy from raw total energies in eV/f.u.: 13.104

=====

The following is a PBE calculation of a relaxed Cr2InCo2 crystal, from the Alexandria database.

abc: 7.0598 7.0598 2.6409
angles: 90.00 90.00 90.00
Element x y z (fractional)
Cr 0.3899 0.8899 0.0000
Cr 0.8899 0.6101 0.0000
Cr 0.6101 0.1101 0.0000
Cr 0.1101 0.3899 0.0000
Co 0.1738 0.6738 0.5000
Co 0.6738 0.8262 0.5000
Co 0.8262 0.3262 0.5000
Co 0.3262 0.1738 0.5000
In 0.0000 0.0000 0.0000
In 0.5000 0.5000 0.0000

Computed properties:
Relative energy among the computed polymorphs in eV/atom: 0.039
E_form in eV/atom: 0.32
Crystal system: tetragonal
Total DFT energy (no corrections) in eV/atom: -6.9156

=====

Q: Which formula does entry 1 have?
A: Re2SiHgGe

=====

Q: Number 1 is which compound?
A: Re2SiHgGe

=====

Q: Which value of total DFT energy (no corrections) does entry 2 give?
A: -6.9156 eV/atom